# 1
MnBeRh | PBE | optimized geometry

Its density of states at the Fermi level is 0.937 states/eV/atom. The value obtained for the energy above the lowest structure with this stoichiometry is 201 meV/atom. As for the space group: Pm. The value obtained for the formation enthalpy at 0 K is -141.0 meV/atom.

Geometry as POSCAR:
```
MnBeRh
1.0
7.1470 -0.0182 0.0001
0.4702 2.5840 0.0001
0.0000 0.0001 3.6721
Be Mn Rh
2 2 2
direct
0.4112 0.2147 0.0209 Be
0.9335 0.9308 0.5209 Be
0.0662 0.3662 0.0208 Mn
0.7829 0.5057 0.0208 Mn
0.2603 0.7733 0.5209 Rh
0.6125 0.0898 0.5209 Rh
```

# 2
Er6Bi2Pd | PBE | optimized geometry

Its density of states at the Fermi level is 0.982 states/eV/atom. As for the space group: P2_1/c. The value obtained for the formation enthalpy at 0 K is -491.6 meV/atom.

Geometry as POSCAR:
```
Er6Bi2Pd
1.0
-2.1605 -3.6249 4.8713
0.0639 -6.3435 -4.6921
9.7315 -1.8365 2.6153
Bi Pd Er
4 2 12
direct
0.3954 0.1174 0.2571 Bi
0.6046 0.8826 0.7429 Bi
0.1046 0.6174 0.2429 Bi
0.8954 0.3826 0.7571 Bi
0.0000 0.0000 0.5000 Pd
0.5000 0.5000 0.0000 Pd
0.8696 0.6701 0.5419 Er
0.8578 0.9761 0.2441 Er
0.6422 0.4761 0.2559 Er
0.6304 0.1701 0.9581 Er
0.1262 0.3001 0.0394 Er
0.3696 0.8299 0.0419 Er
0.1304 0.3299 0.4581 Er
0.6262 0.1999 0.5394 Er
0.1422 0.0239 0.7559 Er
0.3578 0.5239 0.7441 Er
0.8738 0.6999 0.9606 Er
0.3738 0.8001 0.4606 Er
```

# 3
CaB2Pd | PBE | optimized geometry

Its density of states at the Fermi level is 0.304 states/eV/atom. The value obtained for the energy above the lowest structure with this stoichiometry is 531 meV/atom. As for the space group: Fm-3m. The value obtained for the formation enthalpy at 0 K is 584.7 meV/atom.

Geometry as POSCAR:
```
CaB2Pd
1.0
1.1064 2.5827 3.0848
-2.8558 1.3206 2.7406
0.0958 -1.3746 3.9385
B Ca Pd
2 1 1
direct
0.7500 0.7500 0.7500 B
0.2500 0.2500 0.2500 B
0.0000 0.0000 0.0000 Ca
0.5000 0.5000 0.5000 Pd
```